(1)
PuNpRh6 | GGA-PBE | optimized geometry

CIF file:
```
data_PuNpRh6
_cell_length_a 4.0329
_cell_length_b 4.0329
_cell_length_c 8.0658
_cell_angle_alpha 90.00
_cell_angle_beta 90.00
_cell_angle_gamma 90.00
_symmetry_space_group_name_H-M 'P 4/m m m'
_symmetry_Int_Tables_number 123
_symmetry_space_group_name_Hall '-P 4 2'
loop_
_atom_site_label
_atom_site_type_symbol
_atom_site_fract_x
_atom_site_fract_y
_atom_site_fract_z
Pu1 Pu 0.0000 0.0000 0.0000
Np1 Np 0.0000 0.0000 0.5000
Rh1 Rh 0.0000 0.5000 0.2575
Rh2 Rh 0.5000 0.5000 0.0000
Rh3 Rh 0.5000 0.5000 0.5000
```

Total magnetic moment   4.072 Bohr magnetons per cell
E_form   -405 meV/atom
Uncorrected energy   -9.33 eV/atom
DOS(E_F)   3.17 states/eV/atom

***

(2)
Y2Cd5Hg12 | GGA-PBE | optimized geometry

CIF file:
```
data_Y2Cd5Hg12
_cell_length_a 17.6859
_cell_length_b 10.4567
_cell_length_c 5.3672
_cell_angle_alpha 90.00
_cell_angle_beta 106.62
_cell_angle_gamma 90.00
_symmetry_space_group_name_H-M 'C 1 2/m 1'
_symmetry_Int_Tables_number 12
loop_
_symmetry_equiv_pos_as_xyz
'x,y,z'
'-x,-y,-z'
'-x,y,-z'
'x,-y,z'
'x+1/2,y+1/2,z'
'-x+1/2,-y+1/2,-z'
'-x+1/2,y+1/2,-z'
'x+1/2,-y+1/2,z'
loop_
_atom_site_label
_atom_site_type_symbol
_atom_site_fract_x
_atom_site_fract_y
_atom_site_fract_z
Y1 Y 0.0000 0.2340 0.0000
Cd1 Cd 0.0000 0.0000 0.5000
Cd2 Cd 0.2011 0.5000 0.8055
Cd3 Cd 0.2016 0.0000 0.6108
Hg1 Hg 0.0546 0.5000 0.2867
Hg2 Hg 0.1021 0.2536 0.6099
Hg3 Hg 0.1127 0.0000 0.0538
Hg4 Hg 0.1903 0.2791 0.1974
```

Total magnetic moment   0.000 Bohr magnetons per cell
E_form   -108 meV/atom
Uncorrected energy   -1.22 eV/atom
DOS(E_F)   0.43 states/eV/atom

***

(3)
CaAs3O | GGA-PBE | optimized geometry

CIF file:
```
data_CaAs3O
_cell_length_a 5.3854
_cell_length_b 5.3854
_cell_length_c 5.3854
_cell_angle_alpha 90.00
_cell_angle_beta 90.00
_cell_angle_gamma 90.00
_symmetry_space_group_name_H-M 'P m -3 m'
_symmetry_Int_Tables_number 221
_symmetry_space_group_name_Hall '-P 4 2 3'
loop_
_atom_site_label
_atom_site_type_symbol
_atom_site_fract_x
_atom_site_fract_y
_atom_site_fract_z
Ca1 Ca 0.0000 0.0000 0.0000
As1 As 0.0000 0.0000 0.5000
O1 O 0.5000 0.5000 0.5000
```

Total magnetic moment   1.958 Bohr magnetons per cell
Formation energy (no corrections)   1282 meV per atom
Uncorrected energy   -2.90 eV/atom
DOS(E_F)   1.23 states/eV/atom

***

(4)
HfThTl2 | GGA-PBE | optimized geometry

CIF file:
```
data_HfThTl2
_cell_length_a 4.8662
_cell_length_b 4.8662
_cell_length_c 16.2882
_cell_angle_alpha 90.00
_cell_angle_beta 90.00
_cell_angle_gamma 120.00
_symmetry_space_group_name_H-M 'R -3 m'
_symmetry_Int_Tables_number 166
_symmetry_space_group_name_Hall '-R 3 2"'
loop_
_atom_site_label
_atom_site_type_symbol
_atom_site_fract_x
_atom_site_fract_y
_atom_site_fract_z
Hf1 Hf 0.0000 0.0000 0.0000
Th1 Th 0.0000 0.0000 0.5000
Tl1 Tl 0.0000 0.0000 0.2670
```

Total magnetic moment   0.000 Bohr magnetons per cell
E_form   139 meV/atom
Uncorrected energy   -5.39 eV/atom
DOS(E_F)   0.84 states/eV/atom